# 1
First-principles (PBE) data for a relaxed structure of Ca2MgPt, as listed in Alexandria.

Results
Formation energy from the elements: -0.4993 eV/atom

extended XYZ file:
```
4
Lattice="6.6690 0.0371 0.0041 3.7269 5.5306 -0.0041 -4.6709 -3.7680 2.9090" Properties=species:S:1:pos:R:3 pbc="T T T"
Ca 3.6162 -0.4639 1.4566
Ca 0.5894 0.3156 0.0000
Pt 2.2242 2.3253 1.4524
Mg 4.4933 2.4064 0.0000
```

# 2
First-principles (PBE) data for a relaxed structure of ErNiTe, as listed in Alexandria.

Results
E: -5.3048 eV per atom

extended XYZ file:
```
3
Lattice="4.0132 0.0000 0.0000 0.0000 4.2339 0.0000 0.0000 -2.1169 3.6667" Properties=species:S:1:pos:R:3 pbc="T T T"
Te 0.5777 0.0000 0.0000
Er 2.6057 0.0000 2.4444
Ni 0.8298 2.1170 1.2222
```

Number 1: mass density 4.66 g/cm3, size of the total moment 0.0 μB per formula unit. Number 2: mass density 9.42 g/cm3, size of the total moment 0.0 μB per formula unit.